The following is a DFT calculation (PBE) of a geometry-optimized SmZn2GaAu5 structure.

Cell lengths 7.824, 7.824, 7.824 Å; angles 144.48, 135.78, 57.96 degrees
Fractional coordinates of all 9 atoms:
Sm1 0.000 0.000 0.000
Zn1 0.312 0.812 0.500
Zn2 0.688 0.188 0.500
Ga1 0.500 0.500 0.000
Au1 0.084 0.347 0.737
Au2 0.390 0.653 0.737
Au3 0.500 0.000 0.500
Au4 0.610 0.347 0.263
Au5 0.916 0.653 0.263

Results
- uncorrected energy (eV for the cell shown) = -28.56
- space-group type = Immm
- formation enthalpy at 0 K (kJ/mol of atoms) = -20.2
- crystal system = orthorhombic

The following is a DFT calculation (PBE) of a geometry-optimized NiPb4 structure.

Cell lengths 5.246, 5.246, 5.246 Å; angles 90.00, 90.00, 90.00 degrees
Fractional coordinates of all 5 atoms:
Ni1 0.000 0.000 0.000
Pb1 0.000 0.000 0.500
Pb2 0.000 0.500 0.000
Pb3 0.500 0.000 0.000
Pb4 0.500 0.500 0.500

Results
- uncorrected energy (eV for the cell shown) = -19.86
- space-group type = Pm-3m
- formation enthalpy at 0 K (kJ/mol of atoms) = 14.6
- crystal system = cubic

The following is a DFT calculation (PBE) of a geometry-optimized CsCdSiAs2 structure.

Cell lengths 7.943, 7.943, 7.139 Å; angles 90.00, 90.00, 133.75 degrees
Fractional coordinates of all 10 atoms:
Cs1 0.250 0.750 0.758
Cs2 0.750 0.250 0.242
Cd1 0.000 0.000 0.500
Cd2 0.500 0.500 0.500
Si1 0.250 0.250 0.000
Si2 0.750 0.750 0.000
As1 0.091 0.909 0.185
As2 0.409 0.591 0.185
As3 0.591 0.409 0.815
As4 0.909 0.091 0.815

Results
- energy relative to the elements, uncorrected (eV/atom) = -0.205
- uncorrected energy (eV for the cell shown) = -35.03
- space-group type = Cmme
- crystal system = orthorhombic

The following is a DFT calculation (PBE) of a geometry-optimized NbCoNi4 structure.

Cell lengths 4.677, 4.677, 4.677 Å; angles 60.00, 60.00, 60.00 degrees
Fractional coordinates of all 6 atoms:
Nb1 0.000 0.000 0.000
Co1 0.250 0.250 0.250
Ni1 0.127 0.624 0.624
Ni2 0.624 0.127 0.624
Ni3 0.624 0.624 0.127
Ni4 0.624 0.624 0.624

Results
- uncorrected energy (eV for the cell shown) = -41.11
- space-group type = F-43m
- formation enthalpy at 0 K (kJ/mol of atoms) = -13.0
- crystal system = cubic

The following is a DFT calculation (PBE) of a geometry-optimized NaSr2YRu structure.

Cell lengths 6.019, 6.019, 5.266 Å; angles 90.00, 90.00, 90.00 degrees
Fractional coordinates of all 5 atoms:
Na1 0.000 0.000 0.000
Sr1 0.000 0.500 0.500
Sr2 0.500 0.000 0.500
Y1 0.500 0.500 0.000
Ru1 0.500 0.500 0.500

Results
- uncorrected energy (eV for the cell shown) = -19.82
- space-group type = P4/mmm
- formation enthalpy at 0 K (kJ/mol of atoms) = 11.7
- crystal system = tetragonal

The following is a DFT calculation (PBE) of a geometry-optimized Sc3ZnIr4 structure.

Cell lengths 3.212, 3.212, 12.479 Å; angles 90.00, 90.00, 90.00 degrees
Fractional coordinates of all 8 atoms:
Sc1 0.000 0.000 0.000
Sc2 0.000 0.000 0.262
Sc3 0.000 0.000 0.738
Zn1 0.000 0.000 0.500
Ir1 0.500 0.500 0.129
Ir2 0.500 0.500 0.385
Ir3 0.500 0.500 0.615
Ir4 0.500 0.500 0.871

Results
- uncorrected energy (eV for the cell shown) = -62.30
- space-group type = P4/mmm
- formation enthalpy at 0 K (kJ/mol of atoms) = -79.4
- crystal system = tetragonal

The following is a DFT calculation (PBE) of a geometry-optimized Er7Tm3In structure.

Cell lengths 8.283, 8.283, 5.725 Å; angles 110.16, 110.16, 84.78 degrees
Fractional coordinates of all 11 atoms:
Er1 0.000 0.000 0.000
Er2 0.100 0.525 0.312
Er3 0.282 0.282 0.782
Er4 0.475 0.900 0.688
Er5 0.525 0.100 0.312
Er6 0.718 0.718 0.218
Er7 0.900 0.475 0.688
Tm1 0.297 0.703 0.000
Tm2 0.500 0.500 0.500
Tm3 0.703 0.297 0.000
In1 0.000 0.000 0.500

Results
- uncorrected energy (eV for the cell shown) = -45.94
- space-group type = C2/m
- formation enthalpy at 0 K (kJ/mol of atoms) = 18.8
- crystal system = monoclinic

The following is a DFT calculation (PBE) of a geometry-optimized YPuTl structure.

Cell lengths 5.334, 5.334, 3.462 Å; angles 90.00, 90.00, 120.00 degrees
Fractional coordinates of all 3 atoms:
Y1 0.000 0.000 0.000
Pu1 0.333 0.667 0.574
Tl1 0.667 0.333 0.275

Results
- uncorrected energy (eV for the cell shown) = -23.14
- space-group type = P3m1
- formation enthalpy at 0 K (kJ/mol of atoms) = 0.7
- crystal system = trigonal

The following is a DFT calculation (PBE) of a geometry-optimized Tb2CePrSe4 structure.

Cell lengths 7.177, 4.121, 7.303 Å; angles 90.00, 108.90, 90.00 degrees
Fractional coordinates of all 8 atoms:
Tb1 0.000 0.000 0.000
Tb2 0.500 0.500 0.000
Ce1 0.000 0.500 0.500
Pr1 0.500 0.000 0.500
Se1 0.243 0.500 0.237
Se2 0.252 0.000 0.762
Se3 0.748 0.000 0.238
Se4 0.757 0.500 0.763

Results
- energy relative to the elements, uncorrected (eV/atom) = -1.811
- uncorrected energy (eV for the cell shown) = -48.40
- space-group type = P2/m
- crystal system = monoclinic

The following is a DFT calculation (PBE) of a geometry-optimized Ho2IrRu3 structure.

Cell lengths 5.264, 5.264, 5.390 Å; angles 119.09, 119.09, 60.00 degrees
Fractional coordinates of all 6 atoms:
Ho1 0.123 0.123 0.370
Ho2 0.877 0.877 0.630
Ir1 0.500 0.500 0.500
Ru1 0.000 0.500 0.000
Ru2 0.500 0.000 0.000
Ru3 0.500 0.500 0.000

Results
- uncorrected energy (eV for the cell shown) = -48.60
- space-group type = C2/m
- formation enthalpy at 0 K (kJ/mol of atoms) = -44.4
- crystal system = monoclinic

The following is a DFT calculation (PBE) of a geometry-optimized Nd6Al2Sn structure.

Cell lengths 8.991, 8.991, 8.991 Å; angles 113.10, 111.93, 103.55 degrees
Fractional coordinates of all 18 atoms:
Nd1 0.032 0.822 0.210
Nd2 0.239 0.538 0.299
Nd3 0.239 0.940 0.701
Nd4 0.280 0.311 0.591
Nd5 0.280 0.689 0.970
Nd6 0.388 0.178 0.210
Nd7 0.612 0.822 0.790
Nd8 0.720 0.311 0.030
Nd9 0.720 0.689 0.409
Nd10 0.761 0.060 0.299
Nd11 0.761 0.462 0.701
Nd12 0.968 0.178 0.790
Al1 0.000 0.138 0.138
Al2 0.000 0.862 0.862
Al3 0.381 0.381 0.000
Al4 0.619 0.619 0.000
Sn1 0.000 0.500 0.500
Sn2 0.500 0.000 0.500

Results
- uncorrected energy (eV for the cell shown) = -86.13
- space-group type = Immm
- formation enthalpy at 0 K (kJ/mol of atoms) = -31.8
- crystal system = orthorhombic

The following is a DFT calculation (PBE) of a geometry-optimized Na3H7Pd2 structure.

Cell lengths 9.658, 9.658, 9.658 Å; angles 158.31, 158.31, 30.86 degrees
Fractional coordinates of all 12 atoms:
Na1 0.000 0.000 0.000
Na2 0.183 0.183 0.000
Na3 0.817 0.817 0.000
H1 0.094 0.594 0.500
H2 0.309 0.309 0.000
H3 0.406 0.906 0.500
H4 0.500 0.500 0.000
H5 0.594 0.094 0.500
H6 0.691 0.691 0.000
H7 0.906 0.406 0.500
Pd1 0.404 0.404 0.000
Pd2 0.596 0.596 0.000

Results
- uncorrected energy (eV for the cell shown) = -40.77
- space-group type = I4/mmm
- crystal system = tetragonal

The following is a DFT calculation (PBE) of a geometry-optimized Ce2TlIn2 structure.

Cell lengths 6.257, 6.257, 6.257 Å; angles 136.96, 115.08, 81.10 degrees
Fractional coordinates of all 5 atoms:
Ce1 0.213 0.213 0.000
Ce2 0.787 0.787 0.000
Tl1 0.500 0.000 0.500
In1 0.215 0.500 0.715
In2 0.785 0.500 0.285

Results
- uncorrected energy (eV for the cell shown) = -20.60
- space-group type = Immm
- formation enthalpy at 0 K (kJ/mol of atoms) = -17.1
- crystal system = orthorhombic

The following is a DFT calculation (PBE) of a geometry-optimized SiBAsRhS structure.

Cell lengths 3.754, 4.560, 5.356 Å; angles 85.20, 77.28, 89.22 degrees
Fractional coordinates of all 5 atoms:
Si1 0.000 0.000 0.000
B1 0.934 0.127 0.357
As1 0.534 0.679 0.928
Rh1 0.607 0.201 0.715
S1 0.182 0.409 0.454

Results
- energy relative to the elements, uncorrected (eV/atom) = 0.067
- uncorrected energy (eV for the cell shown) = -27.89
- space-group type = P1
- crystal system = triclinic

The following is a DFT calculation (PBE) of a geometry-optimized RbAgTe2 structure.

Cell lengths 10.317, 10.317, 10.317 Å; angles 146.19, 146.19, 48.57 degrees
Fractional coordinates of all 8 atoms:
Rb1 0.000 0.000 0.000
Rb2 0.750 0.250 0.500
Ag1 0.250 0.750 0.500
Ag2 0.500 0.500 0.000
Te1 0.307 0.625 0.182
Te2 0.375 0.557 0.682
Te3 0.443 0.125 0.818
Te4 0.875 0.693 0.318

Results
- energy relative to the elements, uncorrected (eV/atom) = -0.414
- uncorrected energy (eV for the cell shown) = -23.52
- space-group type = I-42d
- crystal system = tetragonal

The following is a DFT calculation (PBE) of a geometry-optimized SnPPd4 structure.

Cell lengths 6.945, 3.307, 16.689 Å; angles 90.00, 90.00, 90.00 degrees
Fractional coordinates of all 24 atoms:
Sn1 0.207 0.250 0.188
Sn2 0.293 0.750 0.688
Sn3 0.707 0.250 0.312
Sn4 0.793 0.750 0.812
P1 0.241 0.750 0.449
P2 0.259 0.250 0.949
P3 0.741 0.750 0.051
P4 0.759 0.250 0.551
Pd1 0.015 0.750 0.290
Pd2 0.039 0.750 0.566
Pd3 0.105 0.750 0.054
Pd4 0.169 0.750 0.851
Pd5 0.331 0.250 0.351
Pd6 0.395 0.250 0.554
Pd7 0.461 0.250 0.066
Pd8 0.485 0.250 0.790
Pd9 0.515 0.750 0.210
Pd10 0.539 0.750 0.934
Pd11 0.605 0.750 0.446
Pd12 0.669 0.750 0.649
Pd13 0.831 0.250 0.149
Pd14 0.895 0.250 0.946
Pd15 0.961 0.250 0.434
Pd16 0.985 0.250 0.710

Results
- uncorrected energy (eV for the cell shown) = -132.42
- space-group type = Pnma
- formation enthalpy at 0 K (kJ/mol of atoms) = -47.0
- crystal system = orthorhombic

The following is a DFT calculation (PBE) of a geometry-optimized CsKWN3 structure.

Cell lengths 7.239, 7.239, 5.728 Å; angles 90.09, 90.09, 124.91 degrees
Fractional coordinates of all 12 atoms:
Cs1 0.241 0.759 0.750
Cs2 0.759 0.241 0.250
K1 0.083 0.917 0.250
K2 0.917 0.083 0.750
W1 0.453 0.547 0.250
W2 0.547 0.453 0.750
N1 0.304 0.306 0.500
N2 0.306 0.304 0.000
N3 0.311 0.689 0.250
N4 0.689 0.311 0.750
N5 0.694 0.696 0.000
N6 0.696 0.694 0.500

Results
- energy relative to the elements, uncorrected (eV/atom) = -0.181
- uncorrected energy (eV for the cell shown) = -81.93
- space-group type = C2/c
- crystal system = monoclinic

The following is a DFT calculation (PBE) of a geometry-optimized NaTi2TeO6 structure.

Cell lengths 7.336, 7.336, 6.090 Å; angles 103.43, 103.43, 87.56 degrees
Fractional coordinates of all 20 atoms:
Na1 0.098 0.902 0.750
Na2 0.902 0.098 0.250
Ti1 0.200 0.377 0.777
Ti2 0.377 0.200 0.277
Ti3 0.623 0.800 0.723
Ti4 0.800 0.623 0.223
Te1 0.273 0.727 0.250
Te2 0.727 0.273 0.750
O1 0.007 0.781 0.322
O2 0.137 0.616 0.892
O3 0.219 0.993 0.178
O4 0.310 0.358 0.527
O5 0.358 0.310 0.027
O6 0.384 0.863 0.608
O7 0.616 0.137 0.392
O8 0.642 0.690 0.973
O9 0.690 0.642 0.473
O10 0.781 0.007 0.822
O11 0.863 0.384 0.108
O12 0.993 0.219 0.678

Results
- energy relative to the elements, uncorrected (eV/atom) = -2.206
- uncorrected energy (eV for the cell shown) = -144.12
- space-group type = C2/c
- crystal system = monoclinic

The following is a DFT calculation (PBE) of a geometry-optimized BeCr2Pt structure.

Cell lengths 7.699, 7.699, 7.699 Å; angles 20.77, 20.77, 20.77 degrees
Fractional coordinates of all 4 atoms:
Be1 0.000 0.000 0.000
Cr1 0.247 0.247 0.247
Cr2 0.511 0.511 0.511
Pt1 0.744 0.744 0.744

Results
- uncorrected energy (eV for the cell shown) = -28.72
- space-group type = R3m
- formation enthalpy at 0 K (kJ/mol of atoms) = 7.1
- crystal system = trigonal

The following is a DFT calculation (PBE) of a geometry-optimized Hf2NbTl structure.

Cell lengths 5.916, 5.916, 6.770 Å; angles 106.76, 106.76, 49.56 degrees
Fractional coordinates of all 8 atoms:
Hf1 0.125 0.125 0.207
Hf2 0.133 0.133 0.671
Hf3 0.867 0.867 0.329
Hf4 0.875 0.875 0.793
Nb1 0.373 0.373 0.552
Nb2 0.627 0.627 0.448
Tl1 0.382 0.382 0.076
Tl2 0.618 0.618 0.924

Results
- uncorrected energy (eV for the cell shown) = -64.33
- space-group type = C2/m
- formation enthalpy at 0 K (kJ/mol of atoms) = 4.3
- crystal system = monoclinic

The following is a DFT calculation (PBE) of a geometry-optimized DyTcI structure.

Cell lengths 12.850, 12.850, 12.850 Å; angles 18.42, 18.42, 18.42 degrees
Fractional coordinates of all 6 atoms:
Dy1 0.057 0.057 0.057
Dy2 0.943 0.943 0.943
Tc1 0.338 0.338 0.338
Tc2 0.662 0.662 0.662
I1 0.221 0.221 0.221
I2 0.779 0.779 0.779

Results
- energy relative to the elements, uncorrected (eV/atom) = -0.709
- uncorrected energy (eV for the cell shown) = -37.29
- space-group type = R-3m
- crystal system = trigonal

The following is a DFT calculation (PBE) of a geometry-optimized Pm5DySn4 structure.

Cell lengths 8.656, 8.656, 7.253 Å; angles 90.49, 90.49, 36.28 degrees
Fractional coordinates of all 10 atoms:
Pm1 0.000 0.000 0.000
Pm2 0.333 0.333 0.493
Pm3 0.334 0.334 0.004
Pm4 0.666 0.666 0.996
Pm5 0.667 0.667 0.507
Dy1 0.000 0.000 0.500
Sn1 0.174 0.174 0.749
Sn2 0.492 0.492 0.744
Sn3 0.508 0.508 0.256
Sn4 0.826 0.826 0.251

Results
- uncorrected energy (eV for the cell shown) = -49.90
- space-group type = C2/m
- formation enthalpy at 0 K (kJ/mol of atoms) = -53.4
- crystal system = monoclinic

The following is a DFT calculation (PBE) of a geometry-optimized KPuPb2 structure.

Cell lengths 5.666, 5.666, 5.666 Å; angles 60.00, 60.00, 60.00 degrees
Fractional coordinates of all 4 atoms:
K1 0.000 0.000 0.000
Pu1 0.500 0.500 0.500
Pb1 0.250 0.250 0.250
Pb2 0.750 0.750 0.750

Results
- uncorrected energy (eV for the cell shown) = -22.69
- space-group type = Fm-3m
- formation enthalpy at 0 K (kJ/mol of atoms) = 3.8
- crystal system = cubic